[1]
Sc2InCl | meta-GGA SCAN | PBEsol geometry

Results
Total energy ... -18.339 eV per atom
SG ... Pm, No. 6
ΔE_f (raw) ... -0.879 eV per atom
Excess energy over the best structure of this formula in the dataset ... 0.21 eV/f.u.

```
4
Lattice="-0.5752 0.5206 3.2109 1.2980 -4.6239 0.9823 5.3862 1.3155 -0.9249" Properties=species:S:1:pos:R:3 pbc="T T T"
Sc 4.7306 1.7682 2.0723
Sc 2.1934 -1.5282 2.1400
In 4.8422 -1.0609 0.8396
Cl 1.5594 0.7873 1.6455
```

---

[2]
BaTe2C | meta-GGA SCAN | PBEsol geometry

Results
Total energy ... -30.413 eV per atom
SG ... R-3m, No. 166
ΔE_f (raw) ... 0.625 eV per atom

```
4
Lattice="4.1085 0.0000 0.0000 2.0543 3.5581 0.0000 2.0543 1.1860 7.5740" Properties=species:S:1:pos:R:3 pbc="T T T"
Ba 0.0000 0.0000 0.0000
C 4.1085 2.3721 3.7870
Te 2.0543 1.1860 2.4718
Te 6.1628 3.5581 5.1023
```

---

[3]
LaOsBr2 | meta-GGA SCAN | PBEsol geometry

Results
Total energy ... -38.573 eV per atom
SG ... Fmmm, No. 69
ΔE_f (raw) ... -0.097 eV per atom
Excess energy over the best structure of this formula in the dataset ... 1.80 eV/f.u.

```
4
Lattice="4.5329 0.0014 0.0000 -0.1784 4.5375 0.0000 -2.1773 -2.2694 4.6360" Properties=species:S:1:pos:R:3 pbc="T T T"
La -0.0892 2.2688 0.0000
Br 1.0886 1.1347 2.3180
Br -1.0886 -1.1347 2.3180
Os 2.2665 0.0007 0.0000
```

---

[4]
K2Na2Sm4Nb2O13 | meta-GGA SCAN | PBEsol geometry

Results
Total energy ... -18.300 eV per atom
SG ... C2/c, No. 15
ΔE_f (raw) ... -3.078 eV per atom

```
46
Lattice="5.6382 0.0000 0.0000 0.0000 11.1874 0.0056 -2.8191 -5.3676 10.8318" Properties=species:S:1:pos:R:3 pbc="T T T"
O 1.0911 0.0903 8.0281
O -1.5468 0.0941 7.9926
O 4.2371 10.9207 0.0261
O 1.4011 5.3270 0.0233
O 1.4180 0.4928 10.8142
O 1.2723 0.1320 2.8420
O 1.2898 -2.5470 7.9292
O 1.5293 8.3669 2.9082
O -1.2898 3.0467 7.9320
O -0.3660 -1.4543 5.7232
O -1.3071 -2.5008 8.6666
O 4.2691 2.7968 0.0014
O -1.4180 -5.1009 10.8114
O 1.7279 5.7295 2.8093
O 4.1262 8.3206 2.1709
O 1.5120 2.7270 2.1681
O 0.3660 4.1394 5.7261
O 1.3071 3.0929 8.6694
O -1.0911 5.6840 8.0310
O 1.5468 5.6878 7.9954
O 1.3691 8.3905 0.0042
O 3.9102 0.1358 2.8065
O 2.4531 1.6804 5.1114
O 4.3659 5.7257 2.8449
O 3.1851 7.2741 5.1142
O 4.1089 2.7732 2.9054
Na -0.2212 -1.4557 3.4425
Na 2.5979 1.6819 7.3921
Na 0.2212 4.1380 3.4453
Na 3.0403 7.2755 7.3950
Sm -0.2155 1.2593 1.3594
Sm 0.2155 6.8530 1.3622
Sm 3.0861 4.3503 1.3654
Sm -0.2670 1.4695 9.4720
Sm 2.5521 9.9440 1.3682
Sm 2.6036 -1.0332 9.4752
Sm 0.2670 -4.1242 9.4692
Sm 3.0346 4.5605 9.4780
K 3.1195 4.4019 5.3944
K 2.5186 -1.1917 5.3916
K 0.3005 7.0116 5.4459
K -0.3004 1.4179 5.4430
Nb 3.0133 7.1318 3.2692
Nb 2.6249 1.5381 3.2664
Nb -0.1942 -1.3120 7.5682
Nb 0.1942 4.2817 7.5710
```

---

[5]
La2Mn2O5 | meta-GGA SCAN | PBEsol geometry

Results
Total energy ... -19.989 eV per atom
SG ... Imma, No. 74
ΔE_f (raw) ... -2.892 eV per atom

```
18
Lattice="-1.0061 -5.2948 0.5116 1.4235 0.2373 5.2560 -7.5610 4.1113 -0.9640" Properties=species:S:1:pos:R:3 pbc="T T T"
Mn -3.0275 0.8504 3.3953
Mn -4.1354 -1.8978 1.4181
Mn -0.5126 -2.6976 0.2606
Mn 0.7022 0.0685 2.6328
O -1.2903 0.4561 2.7221
O 0.4710 -1.1237 4.1622
O -2.2871 -2.2736 1.1549
O -0.0320 -3.7711 4.4182
O -7.6338 0.0772 0.6508
O -3.7900 2.0028 -0.4748
O -2.8707 -0.4075 5.0328
O -7.1307 2.7245 0.3952
O -5.8723 -1.5019 2.0911
O -4.8755 1.2278 3.6582
La -1.6629 -2.1699 3.4632
La -1.9163 0.3514 0.4144
La -5.2466 -1.3985 4.3989
La -5.4999 1.1228 1.3501
```

---

[6]
Y3AlCd | meta-GGA SCAN | PBEsol geometry

Results
Total energy ... -24.125 eV per atom
SG ... Pm-3m, No. 221
Energy of formation from the pure elements ... 0.21 eV per atom

```
5
Lattice="5.4317 0.0000 0.0000 0.0000 5.4317 0.0000 0.0000 0.0000 5.4317" Properties=species:S:1:pos:R:3 pbc="T T T"
Al 0.0000 0.0000 0.0000
Y 2.7158 0.0000 0.0000
Y 0.0000 0.0000 2.7158
Y 0.0000 2.7158 0.0000
Cd 2.7158 2.7158 2.7158
```

---

[7]
MoPt3 | meta-GGA SCAN | PBEsol geometry

Results
Total energy ... -61.528 eV per atom
SG ... Imm2, No. 44
Energy of formation from the pure elements ... -0.16 eV per atom

```
4
Lattice="2.7625 0.0000 0.0000 0.0000 4.7885 0.0000 -1.3812 -2.3943 4.5264" Properties=species:S:1:pos:R:3 pbc="T T T"
Mo 0.0000 0.0198 0.0000
Pt 1.3812 0.7677 2.2102
Pt 0.0000 3.1620 2.3162
Pt 1.3812 2.4352 0.0000
```

---

[8]
CaLaHg2 | meta-GGA SCAN | PBEsol geometry

Results
Total energy ... -48.002 eV per atom
SG ... P4/mmm, No. 123
Energy of formation from the pure elements ... -0.73 eV per atom
Excess energy over the best structure of this formula in the dataset ... 0.18 eV/f.u.

```
4
Lattice="3.7360 0.0000 0.0000 0.0000 3.7360 0.0000 0.0000 0.0000 7.6881" Properties=species:S:1:pos:R:3 pbc="T T T"
Hg 0.0000 0.0000 5.6882
Hg 0.0000 0.0000 1.9999
La 1.8680 1.8680 0.0000
Ca 1.8680 1.8680 3.8440
```